[1]
! YMo3Rh, optimized geometry, DFT PBE; values from VASP
! Calculated formation energy ... 1158 meV per atom
! Space-group type ... Pm-3m
! Spin magnetization ... 0.00 μB per atom
! Theoretical density ... 7.3 g cm⁻³
&SYSTEM
  ibrav = 0, nat = 5, ntyp = 3
/
ATOMIC_SPECIES
Y 88.91 Y.upf
Mo 95.94 Mo.upf
Rh 102.91 Rh.upf
ATOMIC_POSITIONS crystal
Y 0.000 0.000 0.000
Mo 0.000 0.500 0.500
Mo 0.500 0.000 0.500
Mo 0.500 0.500 0.000
Rh 0.500 0.500 0.500
CELL_PARAMETERS angstrom
4.777 0.000 0.000
0.000 4.777 0.000
0.000 0.000 4.777

[2]
! Y2Mo2Rh, optimized geometry, DFT PBE; values from VASP
! Calculated formation energy ... 596 meV per atom
! Space-group type ... P4/mbm
! Spin magnetization ... 0.00 μB per atom
! Theoretical density ... 7.0 g cm⁻³
&SYSTEM
  ibrav = 0, nat = 10, ntyp = 3
/
ATOMIC_SPECIES
Y 88.91 Y.upf
Mo 95.94 Mo.upf
Rh 102.91 Rh.upf
ATOMIC_POSITIONS crystal
Y 0.196 0.304 0.000
Y 0.304 0.804 0.000
Y 0.696 0.196 0.000
Y 0.804 0.696 0.000
Mo 0.096 0.596 0.500
Mo 0.404 0.096 0.500
Mo 0.596 0.904 0.500
Mo 0.904 0.404 0.500
Rh 0.000 0.000 0.000
Rh 0.500 0.500 0.000
CELL_PARAMETERS angstrom
8.057 0.000 0.000
0.000 8.057 0.000
0.000 0.000 3.477

[3]
! YMoRh3, optimized geometry, DFT PBE; values from VASP
! Calculated formation energy ... 293 meV per atom
! Space-group type ... Pm-3m
! Spin magnetization ... 0.00 μB per atom
! Theoretical density ... 7.8 g cm⁻³
&SYSTEM
  ibrav = 0, nat = 5, ntyp = 3
/
ATOMIC_SPECIES
Y 88.91 Y.upf
Mo 95.94 Mo.upf
Rh 102.91 Rh.upf
ATOMIC_POSITIONS crystal
Y 0.000 0.000 0.000
Mo 0.500 0.500 0.500
Rh 0.000 0.500 0.500
Rh 0.500 0.000 0.500
Rh 0.500 0.500 0.000
CELL_PARAMETERS angstrom
4.716 0.000 0.000
0.000 4.716 0.000
0.000 0.000 4.716

[4]
! ZnMoRh, optimized geometry, DFT PBE; values from VASP
! Calculated formation energy ... -152 meV per atom
! Space-group type ... I4mm
! Spin magnetization ... 0.00 μB per atom
! Theoretical density ... 10.0 g cm⁻³
&SYSTEM
  ibrav = 0, nat = 3, ntyp = 3
/
ATOMIC_SPECIES
Zn 65.41 Zn.upf
Mo 95.94 Mo.upf
Rh 102.91 Rh.upf
ATOMIC_POSITIONS crystal
Zn 0.000 0.000 0.000
Mo 0.676 0.676 0.000
Rh 0.339 0.339 0.000
CELL_PARAMETERS angstrom
-1.415 1.415 5.454
1.415 -1.415 5.454
1.415 1.415 -5.454

Number 1: polymorph energy (0 for the lowest one) 0.000 eV/f.u.. Number 2: polymorph energy (0 for the lowest one) 2.489 eV/f.u.. Number 3: polymorph energy (0 for the lowest one) 0.000 eV/f.u.. Number 4: polymorph energy (0 for the lowest one) 0.000 eV/f.u..